Compound: PmPbSe
Source: the Alexandria database
Functional: PBE-GGA
Structure: relaxed

Output
* calculated density: 7.61 Mg/m³
* raw total energy: -0.1835 hartree per atom

Cell and atoms, written as extended XYZ:
```
6
Lattice="2.407 1.390 9.373 -2.407 1.390 9.373 0.000 -2.779 9.373" Properties=species:S:1:pos:R:3 pbc="T T T"
Pm 0.000 0.000 2.791
Pm 0.000 0.000 25.326
Pb 0.000 0.000 10.089
Pb 0.000 0.000 18.029
Se 0.000 0.000 5.778
Se 0.000 0.000 22.340
```

***

Compound: Sr2ZrIn
Source: the Alexandria database
Functional: PBE-GGA
Structure: relaxed

Output
* calculated density: 4.92 Mg/m³
* energy of formation: 196 meV per atom

Cell and atoms, written as extended XYZ:
```
4
Lattice="3.588 0.000 0.000 0.000 5.254 0.000 -0.023 0.000 6.828" Properties=species:S:1:pos:R:3 pbc="T T T"
Sr -0.003 0.000 1.731
Sr 3.568 0.000 5.098
Zr 1.794 2.627 0.000
In 1.783 2.627 3.414
```

***

Compound: In3AgHg6
Source: the Alexandria database
Functional: PBE-GGA
Structure: relaxed

Output
* calculated density: 10.72 Mg/m³
* relative energy among the computed polymorphs: 6 meV/atom
* energy of formation: 35 meV per atom

Cell and atoms, written as extended XYZ:
```
20
Lattice="12.475 0.000 0.000 0.000 3.303 0.000 -3.022 0.000 12.448" Properties=species:S:1:pos:R:3 pbc="T T T"
In -0.576 0.826 4.561
In 2.207 2.477 3.914
In 3.141 0.826 0.680
In 6.311 2.477 11.768
In 7.246 0.826 8.534
In 10.028 2.477 7.887
Ag 2.064 0.826 9.021
Ag 7.388 2.477 3.427
Hg 0.497 2.477 1.292
Hg -0.670 0.826 10.124
Hg 0.503 2.477 7.089
Hg 3.405 0.826 6.416
Hg 2.270 2.477 11.497
Hg 4.879 0.826 3.211
Hg 4.574 2.477 9.237
Hg 7.183 0.826 0.952
Hg 6.048 2.477 6.032
Hg 8.949 0.826 5.359
Hg 10.122 2.477 2.324
Hg 8.956 0.826 11.156
```